# 1
ZrTaC2 | SCAN | single point on PBEsol structure

The structure in POSCAR format:
```
ZrTaC2
1.0
-0.6246 -2.4640 1.9753
1.7625 -1.9428 -1.8662
3.6916 1.0134 2.4314
C Zr Ta
2 1 1
Direct
0.0000 0.0000 0.5000
0.5000 0.5000 0.0000
0.5000 0.5000 0.5000
0.0000 0.0000 0.0000
```

Computed properties:
The value obtained for the distance to the lowest polymorph of the same formula is 0.0526 eV per atom. The calculation puts the formation energy at -0.789 eV per atom.



# 2
Zr2TaC | SCAN | single point on PBEsol structure

The structure in POSCAR format:
```
Zr2TaC
1.0
-1.2865 -2.3061 -1.4253
2.9661 -0.2576 0.3747
-1.2340 -3.7536 7.1870
C Zr Ta
1 2 1
Direct
0.0000 0.0000 0.4870
0.0000 0.0000 0.0132
0.5000 0.5000 0.6823
0.5000 0.5000 0.3175
```

Computed properties:
The calculation puts the formation energy at 0.030 eV per atom.



# 3
ZrTaC2 | SCAN | single point on PBEsol structure

The structure in POSCAR format:
```
ZrTaC2
1.0
-2.2963 0.8047 2.0935
-3.0899 -0.2475 -0.8334
-1.8855 -4.7680 2.2254
C Zr Ta
2 1 1
Direct
0.2454 0.2454 0.2637
0.7546 0.7546 0.7363
0.0000 0.0000 0.0000
0.5000 0.5000 0.5000
```

Computed properties:
The value obtained for the distance to the lowest polymorph of the same formula is 0.0000 eV per atom. The calculation puts the formation energy at -0.841 eV per atom.



# 4
Tb2C3 | SCAN | single point on PBEsol structure

The structure in POSCAR format:
```
Tb2C3
1.0
7.0802 0.0000 0.0000
-2.3601 6.6753 0.0000
-2.3601 -3.3376 5.7810
C Tb
12 8
Direct
0.7931 0.0431 0.7500
0.7069 0.4569 0.2500
0.0431 0.2500 0.2931
0.4569 0.7500 0.2069
0.7500 0.7069 0.9569
0.2500 0.7931 0.5431
0.2931 0.7500 0.0431
0.2069 0.2500 0.4569
0.5431 0.2931 0.2500
0.9569 0.2069 0.7500
0.2500 0.9569 0.7069
0.7500 0.5431 0.7931
0.6012 0.0000 0.0000
0.8988 0.8988 0.3988
0.0000 0.5000 0.1012
0.5000 0.6012 0.5000
0.1012 0.0000 0.0000
0.3988 0.3988 0.8988
0.5000 0.1012 0.5000
0.0000 0.5000 0.6012
```

Computed properties:
The calculation puts the formation energy at -0.374 eV per atom.



# 5
TbC2 | SCAN | single point on PBEsol structure

The structure in POSCAR format:
```
TbC2
1.0
-2.5210 2.5692 0.5078
-1.3253 -3.7234 -0.7520
1.3163 0.6336 3.3286
C Tb
2 1
Direct
0.6052 0.2103 0.6052
0.3948 0.7897 0.3948
0.0000 0.0000 0.0000
```

Computed properties:
The calculation puts the formation energy at -0.317 eV per atom.



# 6
TcC3 | SCAN | single point on PBEsol structure

The structure in POSCAR format:
```
TcC3
1.0
2.9526 0.0000 0.0000
-0.9842 3.6628 0.0000
-0.9842 -1.8314 3.1721
C Tc
3 1
Direct
0.5000 0.5000 0.5000
0.0000 0.5000 0.0000
0.0000 0.0000 0.5000
0.5000 0.0000 0.0000
```

Computed properties:
The value obtained for the distance to the lowest polymorph of the same formula is 1.3281 eV per atom. The calculation puts the formation energy at 2.432 eV per atom.



# 7
TcC2 | SCAN | single point on PBEsol structure

The structure in POSCAR format:
```
TcC2
1.0
-0.3927 2.3920 1.0889
0.8324 -1.3839 3.3401
5.1512 0.1616 -1.7399
C Tc
4 2
Direct
0.7668 0.4166 0.5335
0.5074 0.6949 0.0148
0.4926 0.3051 0.9852
0.2332 0.5834 0.4665
0.1186 0.0325 0.2373
0.8814 0.9675 0.7627
```

Computed properties:
The value obtained for the distance to the lowest polymorph of the same formula is 0.0000 eV per atom. The calculation puts the formation energy at 0.718 eV per atom.



# 8
Tc3C | SCAN | single point on PBEsol structure

The structure in POSCAR format:
```
Tc3C
1.0
2.7939 0.0000 0.0000
-1.3969 2.4196 0.0000
0.0000 0.0000 7.0043
C Tc
1 3
Direct
0.0000 0.0000 0.0000
0.0000 0.0000 0.5000
0.3333 0.6667 0.8044
0.3333 0.6667 0.1956
```

Computed properties:
The value obtained for the distance to the lowest polymorph of the same formula is 0.0000 eV per atom. The calculation puts the formation energy at -0.037 eV per atom.



# 9
Tc3C | SCAN | single point on PBEsol structure

The structure in POSCAR format:
```
Tc3C
1.0
-2.0860 -1.5992 0.5282
0.6822 -0.0336 2.5926
-3.7060 5.1785 1.0423
C Tc
1 3
Direct
0.0000 0.0000 0.0000
0.5000 0.5000 0.1972
0.0000 0.0000 0.5000
0.5000 0.5000 0.8028
```

Computed properties:
The value obtained for the distance to the lowest polymorph of the same formula is 0.3982 eV per atom. The calculation puts the formation energy at 0.362 eV per atom.



# 10
Tc3C5 | SCAN | single point on PBEsol structure

The structure in POSCAR format:
```
Tc3C5
1.0
-0.6362 -2.0073 -1.7100
1.7938 0.9599 -1.7941
6.5855 -5.2868 3.7558
C Tc
5 3
Direct
0.0000 0.0000 0.0000
0.0000 0.0000 0.2561
0.0000 0.0000 0.7439
0.5000 0.5000 0.3802
0.5000 0.5000 0.6198
0.0000 0.0000 0.5000
0.5000 0.5000 0.1531
0.5000 0.5000 0.8469
```

Computed properties:
The calculation puts the formation energy at 1.274 eV per atom.



# 11
Tc3C | SCAN | single point on PBEsol structure

The structure in POSCAR format:
```
Tc3C
1.0
2.7101 0.0000 0.0000
0.0000 4.2738 0.0000
-1.3550 -2.1369 4.0660
C Tc
1 3
Direct
0.0000 0.5000 0.0000
0.6987 0.6987 0.3975
0.3013 0.3013 0.6025
0.5000 0.0000 0.0000
```

Computed properties:
The value obtained for the distance to the lowest polymorph of the same formula is 0.3527 eV per atom. The calculation puts the formation energy at 0.316 eV per atom.



# 12
Tc3C | SCAN | single point on PBEsol structure

The structure in POSCAR format:
```
Tc3C
1.0
-2.1742 -4.2370 -0.3241
2.4177 -0.8914 -4.5657
5.6924 -3.1994 3.6390
C Tc
4 12
Direct
0.5756 0.8849 0.7500
0.0756 0.6151 0.2500
0.9244 0.3849 0.7500
0.4244 0.1151 0.2500
0.1700 0.0362 0.7500
0.6700 0.4638 0.2500
0.3300 0.5362 0.7500
0.8300 0.9638 0.2500
0.6653 0.1877 0.9285
0.1653 0.3123 0.0715
0.8347 0.6877 0.5715
0.3347 0.8123 0.4285
0.3347 0.8123 0.0715
0.8347 0.6877 0.9285
0.1653 0.3123 0.4285
0.6653 0.1877 0.5715
```

Computed properties:
The value obtained for the distance to the lowest polymorph of the same formula is 0.0860 eV per atom. The calculation puts the formation energy at 0.049 eV per atom.



no.,V (Å³/atom)
1,11.75
2,16.78
3,11.76
4,13.66
5,13.63
6,8.58
7,8.63
8,11.84
9,11.60
10,8.50
11,11.77
12,11.69